Material: BeSe2BrN
Method: DFT, PBE-GGA
State: relaxed

Geometry as extended XYZ:
```
5
Lattice="5.3066 0.0000 0.0000 0.0000 5.3066 0.0000 0.0000 0.0000 3.0980" Properties=species:S:1:pos:R:3 pbc="T T T"
Se 0.0000 2.6533 0.0000
Se 2.6533 0.0000 0.0000
Be 0.0000 0.0000 0.0000
Br 2.6533 2.6533 1.5490
N 0.0000 0.0000 1.5490
```

Results
SG: No. 123
distance to the lowest polymorph of the same formula: 0.000 eV/atom
DOS(E_F): 0.600 states/eV/atom

=====

Material: Be2SeBrN
Method: DFT, PBE-GGA
State: relaxed

Geometry as extended XYZ:
```
5
Lattice="-0.2212 -0.4464 -4.4198 -5.4091 -0.8333 0.3549 -0.7004 4.3734 -0.4067" Properties=species:S:1:pos:R:3 pbc="T T T"
Br -2.7046 -0.4167 0.1774
Be -0.3502 2.1867 -0.2033
Be -0.1106 -0.2232 -2.2099
N -3.1654 1.5468 -2.2358
Se 0.0000 0.0000 0.0000
```

Results
SG: No. 123
VASP energy: -2.503 eV/atom
DOS(E_F): 0.560 states/eV/atom

=====

Material: BeSe2BrN
Method: DFT, PBE-GGA
State: relaxed

Geometry as extended XYZ:
```
5
Lattice="-4.4731 -0.1999 0.9744 0.4469 -4.4141 1.1460 0.9557 1.3054 4.6551" Properties=species:S:1:pos:R:3 pbc="T T T"
Be 0.0000 0.0000 0.0000
Se -2.2365 -0.1000 0.4872
Se 0.2235 -2.2071 0.5730
N -1.5352 -1.6543 3.3878
Br 0.4779 0.6527 2.3276
```

Results
SG: No. 123
distance to the lowest polymorph of the same formula: 0.545 eV/atom
DOS(E_F): 0.841 states/eV/atom

=====

Material: BeSe2BrN
Method: DFT, PBE-GGA
State: relaxed

Geometry as extended XYZ:
```
5
Lattice="4.4490 0.0000 0.0000 0.0000 4.4490 0.0000 0.0000 0.0000 4.4353" Properties=species:S:1:pos:R:3 pbc="T T T"
Se 2.2245 0.0000 0.0000
Se 0.0000 2.2245 0.0000
N 0.0000 0.0000 0.0000
Be 2.2245 2.2245 2.2176
Br 0.0000 0.0000 2.2176
```

Results
SG: No. 123
distance to the lowest polymorph of the same formula: 0.570 eV/atom
DOS(E_F): 0.561 states/eV/atom

=====

Material: BeSe2BrN
Method: DFT, PBE-GGA
State: relaxed

Geometry as extended XYZ:
```
5
Lattice="-4.4115 -2.8074 0.4683 2.7892 -4.0922 1.7424 -0.3988 1.2054 3.4694" Properties=species:S:1:pos:R:3 pbc="T T T"
Br 0.0000 0.0000 0.0000
Be -1.0105 -2.8471 2.8400
Se -2.2057 -1.4037 0.2341
Se 1.3946 -2.0461 0.8712
N -0.1994 0.6027 1.7347
```

Results
SG: No. 123
distance to the lowest polymorph of the same formula: 1.098 eV/atom
DOS(E_F): 0.767 states/eV/atom

=====

Material: SrBe2BrN
Method: DFT, PBE-GGA
State: relaxed

Geometry as extended XYZ:
```
5
Lattice="6.4150 0.0000 0.0000 0.0000 5.8403 0.0000 0.0000 0.0000 6.4150" Properties=species:S:1:pos:R:3 pbc="T T T"
Be 0.0000 0.0000 3.2075
Be 3.2075 0.0000 0.0000
Sr 0.0000 0.0000 0.0000
Br 0.0000 2.9202 0.0000
N 3.2075 2.9202 3.2075
```

Results
SG: No. 123
VASP energy: -2.045 eV/atom
DOS(E_F): 0.668 states/eV/atom

=====

Material: SrBeBrN2
Method: DFT, PBE-GGA
State: relaxed

Geometry as extended XYZ:
```
5
Lattice="3.9775 0.0000 0.0000 0.0000 4.8895 0.0000 0.0000 0.0000 3.9775" Properties=species:S:1:pos:R:3 pbc="T T T"
N 0.0000 0.0000 1.9888
N 1.9888 0.0000 0.0000
Be 0.0000 0.0000 0.0000
Sr 1.9888 2.4448 1.9888
Br 0.0000 2.4448 0.0000
```

Results
SG: No. 123
VASP energy: -4.375 eV/atom
DOS(E_F): 0.746 states/eV/atom

=====

Material: BeTeBrN2
Method: DFT, PBE-GGA
State: relaxed

Geometry as extended XYZ:
```
5
Lattice="-1.5548 0.9264 -3.2872 2.7477 -1.8058 -1.8085 -4.4992 -7.0014 0.1550" Properties=species:S:1:pos:R:3 pbc="T T T"
Te -2.2496 -3.5007 0.0775
Br 0.0000 0.0000 0.0000
N 1.3739 -0.9029 -0.9042
N -0.7774 0.4632 -1.6436
Be -1.6531 -3.9404 -2.4704
```

Results
SG: No. 123
distance to the lowest polymorph of the same formula: 0.643 eV/atom
DOS(E_F): 0.516 states/eV/atom

=====

Material: BeTeBrN2
Method: DFT, PBE-GGA
State: relaxed

Geometry as extended XYZ:
```
5
Lattice="3.9364 0.0000 0.0000 0.0000 3.9364 0.0000 0.0000 0.0000 5.7617" Properties=species:S:1:pos:R:3 pbc="T T T"
N 0.0000 1.9682 0.0000
N 1.9682 0.0000 0.0000
Br 1.9682 1.9682 2.8808
Te 0.0000 0.0000 2.8808
Be 0.0000 0.0000 0.0000
```

Results
SG: No. 123
distance to the lowest polymorph of the same formula: 0.000 eV/atom
DOS(E_F): 0.603 states/eV/atom

=====

Material: BeTe2BrN
Method: DFT, PBE-GGA
State: relaxed

Geometry as extended XYZ:
```
5
Lattice="5.6665 0.0000 0.0000 0.0000 5.6665 0.0000 0.0000 0.0000 3.1620" Properties=species:S:1:pos:R:3 pbc="T T T"
Te 0.0000 2.8333 0.0000
Te 2.8333 0.0000 0.0000
Br 2.8333 2.8333 1.5810
N 0.0000 0.0000 1.5810
Be 0.0000 0.0000 0.0000
```

Results
SG: No. 123
distance to the lowest polymorph of the same formula: 0.000 eV/atom
DOS(E_F): 0.798 states/eV/atom

=====

Material: BeTe2BrN
Method: DFT, PBE-GGA
State: relaxed

Geometry as extended XYZ:
```
5
Lattice="4.9885 0.0000 0.0000 0.0000 4.4199 0.0000 0.0000 0.0000 4.9885" Properties=species:S:1:pos:R:3 pbc="T T T"
Te 0.0000 0.0000 2.4943
Te 2.4943 0.0000 0.0000
Be 0.0000 0.0000 0.0000
N 2.4943 2.2099 2.4943
Br 0.0000 2.2099 0.0000
```

Results
SG: No. 123
distance to the lowest polymorph of the same formula: 0.865 eV/atom
DOS(E_F): 0.762 states/eV/atom

=====

Material: BeTe2BrN
Method: DFT, PBE-GGA
State: relaxed

Geometry as extended XYZ:
```
5
Lattice="-5.0249 -0.2954 -2.8006 -1.0432 -5.1258 2.4122 -1.6701 1.6673 2.8206" Properties=species:S:1:pos:R:3 pbc="T T T"
Te -2.5125 -0.1477 -1.4003
Te -0.5216 -2.5629 1.2061
Be -3.8691 -1.8769 1.2161
N -0.8350 0.8336 1.4103
Br 0.0000 0.0000 0.0000
```

Results
SG: No. 123
distance to the lowest polymorph of the same formula: 1.245 eV/atom
DOS(E_F): 0.625 states/eV/atom